Density functional theory data (PBE) for crystalline Y2CoBr at its relaxed geometry.

Symmetry ... No. 123
Calculated total energy ... -5.844 eV/atom
Formation energy from raw total energies ... -0.417 eV per atom
Crystal system ... tetragonal
Size of the total moment ... 0.00 μB per cell

Unit cell a=5.762 b=4.015 c=4.016 alpha=90.00 beta=90.00 gamma=90.00
Element x y z (fractional)
Br 0.000 0.375 0.375
Co 0.500 0.875 0.875
Y 0.000 0.875 0.875
Y 0.500 0.375 0.375

Density functional theory data (PBE) for crystalline YCoBr3 at its relaxed geometry.

Symmetry ... No. 221
Calculated total energy ... -4.158 eV/atom
Formation energy from raw total energies ... -0.440 eV per atom
Crystal system ... cubic
Size of the total moment ... 3.00 μB per cell

Unit cell a=5.598 b=5.598 c=5.598 alpha=90.00 beta=90.00 gamma=90.00
Element x y z (fractional)
Y 0.000 0.000 0.000
Co 0.500 0.500 0.500
Br 0.000 0.500 0.000
Br 0.000 0.000 0.500
Br 0.500 0.000 0.000

Question: Look up the formation energy from raw total energies of the first one.
Answer: -0.417 eV per atom

Repeat the first record exactly.
Density functional theory data (PBE) for crystalline Y2CoBr at its relaxed geometry.

Symmetry ... No. 123
Calculated total energy ... -5.844 eV/atom
Formation energy from raw total energies ... -0.417 eV per atom
Crystal system ... tetragonal
Size of the total moment ... 0.00 μB per cell

Unit cell a=5.762 b=4.015 c=4.016 alpha=90.00 beta=90.00 gamma=90.00
Element x y z (fractional)
Br 0.000 0.375 0.375
Co 0.500 0.875 0.875
Y 0.000 0.875 0.875
Y 0.500 0.375 0.375

Question: The lowest formation energy from raw total energies belongs to which entry?
Answer: YCoBr3